DFT (PBE-GGA) results for a relaxed Nd3Ho4Th2 crystal.

```
data_Nd3Ho4Th2
_cell_length_a 3.5698
_cell_length_b 3.5698
_cell_length_c 26.8764
_cell_angle_alpha 90.00
_cell_angle_beta 90.00
_cell_angle_gamma 120.00
_symmetry_space_group_name_H-M 'P 3 m 1'
_symmetry_Int_Tables_number 156
_symmetry_space_group_name_Hall 'P 3 -2"'
loop_
_atom_site_label
_atom_site_fract_x
_atom_site_fract_y
_atom_site_fract_z
Nd1 0.0000 0.0000 0.0000
Nd2 0.0000 0.0000 0.3439
Nd3 0.6667 0.3333 0.6692
Ho1 0.0000 0.0000 0.5596
Ho2 0.0000 0.0000 0.7804
Ho3 0.6667 0.3333 0.2373
Ho4 0.6667 0.3333 0.4558
Th1 0.6667 0.3333 0.1128
Th2 0.6667 0.3333 0.8867
```

Output
Fermi-level density of states   16.115 states/eV/f.u.
Calculated formation energy   86 meV/atom

DFT (PBE-GGA) results for a relaxed LiGeH2 crystal.

```
data_LiGeH2
_cell_length_a 5.377
_cell_length_b 5.377
_cell_length_c 5.377
_cell_angle_alpha 90.00
_cell_angle_beta 90.00
_cell_angle_gamma 90.00
_symmetry_space_group_name_H-M 'F m -3 m'
_symmetry_Int_Tables_number 225
_symmetry_space_group_name_Hall '-F 4 2 3'
loop_
_atom_site_label
_atom_site_fract_x
_atom_site_fract_y
_atom_site_fract_z
Li1 0.000 0.000 0.000
Ge1 0.000 0.000 0.500
H1 0.250 0.250 0.250
```

Output
Fermi-level density of states   0.921 states/eV/f.u.

Result set for energy relative to the lowest polymorph listed for this composition: 49; 333 meV/atom, one per record in the order listed.
Result set for E: -5.1867; -2.9233 eV per atom, one per record in the order listed.
Result set for size of the total moment: 0.0; 0.0 μB per formula unit, one per record in the order listed.